Record 1
A geometry-optimized SiRuO structure, computed with PBE.

a = 5.192 Å, b = 3.006 Å, c = 5.156 Å
α = 90.00°, β = 109.99°, γ = 90.00°
Space group Cm (No. 8)
Symmetry-distinct sites (fractional):
Si  0.000  0.000  0.000
Ru  0.444  0.000  0.323
O  0.387  0.500  0.668

Values from the calculation:
* magnetization: 0.00 μB per formula unit
* formation energy (no corrections): -792 meV/atom


Record 2
A geometry-optimized CePuZnRh structure, computed with PBE.

a = 6.748 Å, b = 6.748 Å, c = 6.748 Å
α = 90.00°, β = 90.00°, γ = 90.00°
Space group F-43m (No. 216)
Symmetry-distinct sites (fractional):
Ce  0.000  0.000  0.000
Pu  0.250  0.250  0.750
Zn  0.250  0.250  0.250
Rh  0.000  0.000  0.500

Values from the calculation:
* magnetization: 5.55 μB per formula unit
* ΔE to the lowest computed polymorph: 0 meV/atom


Record 3
A geometry-optimized K3Zr structure, computed with PBE.

a = 3.7304 Å, b = 3.7304 Å, c = 14.8246 Å
α = 90.00°, β = 90.00°, γ = 120.00°
Space group P-6m2 (No. 187)
Symmetry-distinct sites (fractional):
K  0.0000  0.0000  0.0000
K  0.3333  0.6667  0.2834
Zr  0.0000  0.0000  0.5000

Values from the calculation:
* magnetization: 1.68 μB per formula unit
* ΔE to the lowest computed polymorph: 148 meV/atom


Record 4
A geometry-optimized Cr2Ir4Rh3 structure, computed with PBE.

a = 8.511 Å, b = 3.828 Å, c = 8.102 Å
α = 90.00°, β = 108.30°, γ = 90.00°
Space group C2/m (No. 12)
Symmetry-distinct sites (fractional):
Cr  0.166  0.000  0.219
Ir  0.001  0.500  0.668
Ir  0.165  0.000  0.889
Rh  0.000  0.500  0.000
Rh  0.170  0.000  0.557

Values from the calculation:
* magnetization: 2.72 μB per formula unit
* total DFT energy (no corrections): -0.3176 hartree per atom


Record 5
A geometry-optimized SrThPdSe3 structure, computed with PBE.

a = 8.555 Å, b = 4.180 Å, c = 9.448 Å
α = 90.00°, β = 105.42°, γ = 90.00°
Space group P2_1/m (No. 11)
Symmetry-distinct sites (fractional):
Sr  0.196  0.250  0.257
Th  0.307  0.750  0.815
Pd  0.096  0.250  0.603
Se  0.089  0.250  0.874
Se  0.245  0.750  0.507
Se  0.432  0.750  0.152

Values from the calculation:
* magnetization: 0.00 μB per formula unit
* formation energy (no corrections): -1541 meV/atom


Record 6
A geometry-optimized Tb3DySc5 structure, computed with PBE.

a = 8.337 Å, b = 8.337 Å, c = 14.288 Å
α = 90.00°, β = 90.00°, γ = 90.00°
Space group I4/mcm (No. 140)
Symmetry-distinct sites (fractional):
Tb  0.000  0.000  0.250
Tb  0.119  0.381  0.000
Dy  0.000  0.500  0.250
Sc  0.000  0.000  0.000
Sc  0.207  0.293  0.365

Values from the calculation:
* magnetization: 0.00 μB per formula unit
* total DFT energy (no corrections): -0.1944 hartree per atom